The following is a PBE-GGA calculation of a relaxed PrDyTe2I crystal, from Alexandria.

a = 4.632 Å, b = 4.632 Å, c = 15.135 Å
α = 90.00°, β = 90.00°, γ = 90.00°
Fractional coordinates of all 10 atoms:
1 I 0.000 0.000 0.500
2 I 0.500 0.500 0.500
3 Pr 0.500 0.000 0.655
4 Dy 0.000 0.500 0.913
5 Pr 0.000 0.500 0.345
6 Te 0.000 0.500 0.710
7 Te 0.500 0.000 0.290
8 Te 0.500 0.000 0.884
9 Dy 0.500 0.000 0.087
10 Te 0.000 0.500 0.116

Summary:
SG: P4/nmm, No. 129
Energy relative to the elements, uncorrected (meV/atom): -1166
D(E_F) (states/eV/cell): 4.33
E_tot (eV per atom): -4.61